The following is a DFT calculation (PBE) of KCuSb2 after structural relaxation.

Structure (extended XYZ):
```
8
Lattice="9.983 0.000 0.000 0.000 4.227 0.000 -2.383 0.000 6.041" Properties=species:S:1:pos:R:3 pbc="T T T"
K 0.000 0.000 0.000
K 4.991 2.114 0.000
Cu 1.005 0.000 3.298
Cu 5.996 2.114 3.298
Sb -0.539 2.114 3.563
Sb 2.172 2.114 2.309
Sb 4.453 0.000 3.563
Sb 7.164 0.000 2.309
```

Results
total magnetization	0.00	μB/f.u.
formation energy (no corrections)	-0.33	eV/f.u.
polymorph energy (0 for the lowest one)	0.11	eV per formula unit

The following is a DFT calculation (PBE) of KCuSb after structural relaxation.

Structure (extended XYZ):
```
12
Lattice="6.898 0.000 0.000 0.000 6.898 0.000 0.000 0.000 6.898" Properties=species:S:1:pos:R:3 pbc="T T T"
K 0.000 0.000 0.000
K 0.000 3.449 3.449
K 3.449 0.000 3.449
K 3.449 3.449 0.000
Cu 1.725 1.725 5.174
Cu 1.725 5.174 1.725
Cu 5.174 1.725 1.725
Cu 5.174 5.174 5.174
Sb 0.000 0.000 3.449
Sb 0.000 3.449 0.000
Sb 3.449 0.000 0.000
Sb 3.449 3.449 3.449
```

Results
total magnetization	0.00	μB/f.u.
formation energy (no corrections)	0.49	eV/f.u.
polymorph energy (0 for the lowest one)	1.12	eV per formula unit

The following is a DFT calculation (PBE) of KCuSb after structural relaxation.

Structure (extended XYZ):
```
6
Lattice="4.457 0.000 0.000 -0.003 4.817 0.000 -0.008 -0.493 7.779" Properties=species:S:1:pos:R:3 pbc="T T T"
K 1.111 1.004 2.662
K 3.335 3.320 5.117
Cu 1.103 3.541 7.763
Cu 3.344 0.783 0.016
Sb 1.108 1.084 6.565
Sb 3.338 3.240 1.214
```

Results
total magnetization	0.00	μB/f.u.
formation energy (no corrections)	-0.62	eV/f.u.
polymorph energy (0 for the lowest one)	0.00	eV per formula unit

The following is a DFT calculation (PBE) of KCuSb2 after structural relaxation.

Structure (extended XYZ):
```
16
Lattice="5.534 0.000 0.000 0.000 5.534 0.000 0.000 0.000 17.449" Properties=species:S:1:pos:R:3 pbc="T T T"
K 0.000 0.000 0.000
K 0.000 2.767 4.362
K 2.767 0.000 13.087
K 2.767 2.767 8.725
Cu 0.000 0.000 8.725
Cu 0.000 2.767 13.087
Cu 2.767 0.000 4.362
Cu 2.767 2.767 0.000
Sb 0.592 1.384 10.906
Sb 1.384 3.359 15.268
Sb 1.384 4.942 6.544
Sb 2.175 1.384 2.181
Sb 3.359 4.151 2.181
Sb 4.151 0.592 6.544
Sb 4.151 2.175 15.268
Sb 4.942 4.151 10.906
```

Results
total magnetization	0.00	μB/f.u.
formation energy (no corrections)	0.02	eV/f.u.
polymorph energy (0 for the lowest one)	0.46	eV per formula unit